# CrTc2As4 | Alexandria | PBE-GGA | optimized geometry
data_CrTc2As4
_cell_length_a 11.592
_cell_length_b 12.551
_cell_length_c 6.695
_cell_angle_alpha 90.00
_cell_angle_beta 90.00
_cell_angle_gamma 90.00
_space_group_name_H-M_alt 'F d d 2'
_space_group_IT_number 43
_space_group_name_Hall 'F 2 -2d'
loop_
_atom_site_label
_atom_site_fract_x
_atom_site_fract_y
_atom_site_fract_z
Cr1 0.000 0.000 0.000
Tc1 0.002 0.250 0.252
As1 0.112 0.081 0.267
As2 0.113 0.083 0.740
# ΔH_f (0 K), eV/atom: -0.139